# Sc3Ta PBE optimized geometry
data_Sc3Ta
_chemical_formula_sum 'Sc3 Ta1'
_cell_length_a 5.249
_cell_length_b 5.249
_cell_length_c 5.249
_cell_angle_alpha 90.00
_cell_angle_beta 90.00
_cell_angle_gamma 90.00
_symmetry_space_group_name_H-M 'P m -3 m'
_symmetry_Int_Tables_number 221
_symmetry_space_group_name_Hall '-P 4 2 3'
loop_
_atom_site_label
_atom_site_type_symbol
_atom_site_fract_x
_atom_site_fract_y
_atom_site_fract_z
Sc1 Sc 0.000 0.000 0.500
Ta1 Ta 0.000 0.000 0.000
# DOS at the Fermi energy, states/eV per cell: 4.4
# Magnetic moment, μB per formula unit: 0.00
# Energy relative to the lowest polymorph listed for this composition, meV per atom: 1052
# Electronic total energy, eV per atom: -6.55
# Crystal system: cubic
# ΔE_f, eV per atom: 1.1631

# La5HoPb4 PBE optimized geometry
data_La5HoPb4
_chemical_formula_sum 'La10 Ho2 Pb8'
_cell_length_a 17.178
_cell_length_b 5.579
_cell_length_c 7.424
_cell_angle_alpha 90.00
_cell_angle_beta 91.06
_cell_angle_gamma 90.00
_symmetry_space_group_name_H-M 'C 1 2/m 1'
_symmetry_Int_Tables_number 12
_symmetry_space_group_name_Hall '-C 2y'
loop_
_atom_site_label
_atom_site_type_symbol
_atom_site_fract_x
_atom_site_fract_y
_atom_site_fract_z
La1 La 0.000 0.000 0.000
La2 La 0.166 0.500 0.999
La3 La 0.167 0.500 0.508
Ho1 Ho 0.000 0.000 0.500
Pb1 Pb 0.007 0.500 0.260
Pb2 Pb 0.172 0.000 0.747
# DOS at the Fermi energy, states/eV per cell: 14.6
# Magnetic moment, μB per formula unit: 0.00
# Electronic total energy, eV per atom: -4.82
# Crystal system: monoclinic
# ΔE_f, eV per atom: -0.4171

# ErPaBe PBE optimized geometry
data_ErPaBe
_chemical_formula_sum 'Er16 Pa16 Be16'
_cell_length_a 5.659
_cell_length_b 9.394
_cell_length_c 19.213
_cell_angle_alpha 90.00
_cell_angle_beta 90.00
_cell_angle_gamma 90.00
_symmetry_space_group_name_H-M 'F d d d'
_symmetry_Int_Tables_number 70
loop_
_symmetry_equiv_pos_as_xyz
'x,y,z'
'-x,-y,-z'
'-x+1/4,-y+1/4,z'
'x+1/4,y+1/4,-z'
'x,-y+1/4,-z+1/4'
'-x,y+1/4,z+1/4'
'-x+1/4,y,-z+1/4'
'x+1/4,-y,z+1/4'
'x,y+1/2,z+1/2'
'-x,-y+1/2,-z+1/2'
'-x+1/4,-y+3/4,z+1/2'
'x+1/4,y+3/4,-z+1/2'
'x,-y+3/4,-z+3/4'
'-x,y+3/4,z+3/4'
'-x+1/4,y+1/2,-z+3/4'
'x+1/4,-y+1/2,z+3/4'
'x+1/2,y,z+1/2'
'-x+1/2,-y,-z+1/2'
'-x+3/4,-y+1/4,z+1/2'
'x+3/4,y+1/4,-z+1/2'
'x+1/2,-y+1/4,-z+3/4'
'-x+1/2,y+1/4,z+3/4'
'-x+3/4,y,-z+3/4'
'x+3/4,-y,z+3/4'
'x+1/2,y+1/2,z'
'-x+1/2,-y+1/2,-z'
'-x+3/4,-y+3/4,z'
'x+3/4,y+3/4,-z'
'x+1/2,-y+3/4,-z+1/4'
'-x+1/2,y+3/4,z+1/4'
'-x+3/4,y+1/2,-z+1/4'
'x+3/4,-y+1/2,z+1/4'
loop_
_atom_site_label
_atom_site_type_symbol
_atom_site_fract_x
_atom_site_fract_y
_atom_site_fract_z
Er1 Er 0.125 0.298 0.125
Pa1 Pa 0.125 0.125 0.543
Be1 Be 0.125 0.125 0.000
# DOS at the Fermi energy, states/eV per cell: 79.7
# Magnetic moment, μB per formula unit: 0.00
# Energy relative to the lowest polymorph listed for this composition, meV per atom: 0
# Electronic total energy, eV per atom: -5.72
# Crystal system: orthorhombic
# ΔE_f, eV per atom: 0.2088

# ScAgS2N PBE optimized geometry
data_ScAgS2N
_chemical_formula_sum 'Sc1 Ag1 S2 N1'
_cell_length_a 4.828
_cell_length_b 4.828
_cell_length_c 3.949
_cell_angle_alpha 90.00
_cell_angle_beta 90.00
_cell_angle_gamma 90.00
_symmetry_space_group_name_H-M 'P 4/m m m'
_symmetry_Int_Tables_number 123
_symmetry_space_group_name_Hall '-P 4 2'
loop_
_atom_site_label
_atom_site_type_symbol
_atom_site_fract_x
_atom_site_fract_y
_atom_site_fract_z
Sc1 Sc 0.000 0.000 0.000
Ag1 Ag 0.500 0.500 0.500
S1 S 0.000 0.500 0.500
N1 N 0.500 0.500 0.000
# E_form (uncorrected), eV/atom: 0.544
# DOS at the Fermi energy, states/eV per cell: 3.1
# Magnetic moment, μB per formula unit: 0.00
# Energy relative to the lowest polymorph listed for this composition, meV per atom: 317
# Electronic total energy, eV per atom: -4.61
# Crystal system: tetragonal

# SrTe3As PBE optimized geometry
data_SrTe3As
_chemical_formula_sum 'Sr1 Te3 As1'
_cell_length_a 6.071
_cell_length_b 6.071
_cell_length_c 6.071
_cell_angle_alpha 90.00
_cell_angle_beta 90.00
_cell_angle_gamma 90.00
_symmetry_space_group_name_H-M 'P m -3 m'
_symmetry_Int_Tables_number 221
_symmetry_space_group_name_Hall '-P 4 2 3'
loop_
_atom_site_label
_atom_site_type_symbol
_atom_site_fract_x
_atom_site_fract_y
_atom_site_fract_z
Sr1 Sr 0.000 0.000 0.000
Te1 Te 0.000 0.000 0.500
As1 As 0.500 0.500 0.500
# E_form (uncorrected), eV/atom: 0.674
# DOS at the Fermi energy, states/eV per cell: 11.6
# Magnetic moment, μB per formula unit: 0.00
# Energy relative to the lowest polymorph listed for this composition, meV per atom: 1212
# Electronic total energy, eV per atom: -2.48
# Crystal system: cubic

# GaAgGe2 PBE optimized geometry
data_GaAgGe2
_chemical_formula_sum 'Ga4 Ag4 Ge8'
_cell_length_a 7.458
_cell_length_b 7.458
_cell_length_c 5.609
_cell_angle_alpha 90.00
_cell_angle_beta 90.00
_cell_angle_gamma 90.00
_symmetry_space_group_name_H-M 'I -4 2 d'
_symmetry_Int_Tables_number 122
_symmetry_space_group_name_Hall 'I -4 2bw'
loop_
_atom_site_label
_atom_site_type_symbol
_atom_site_fract_x
_atom_site_fract_y
_atom_site_fract_z
Ga1 Ga 0.000 0.000 0.000
Ag1 Ag 0.000 0.000 0.500
Ge1 Ge 0.247 0.250 0.125
# DOS at the Fermi energy, states/eV per cell: 8.2
# Magnetic moment, μB per formula unit: 0.00
# Electronic total energy, eV per atom: -3.54
# Crystal system: tetragonal
# ΔE_f, eV per atom: 0.2379

# Pm2AlGa7 PBE optimized geometry
data_Pm2AlGa7
_chemical_formula_sum 'Pm2 Al1 Ga7'
_cell_length_a 4.271
_cell_length_b 4.271
_cell_length_c 11.004
_cell_angle_alpha 90.00
_cell_angle_beta 90.00
_cell_angle_gamma 90.00
_symmetry_space_group_name_H-M 'P -4 m 2'
_symmetry_Int_Tables_number 115
_symmetry_space_group_name_Hall 'P -4 -2'
loop_
_atom_site_label
_atom_site_type_symbol
_atom_site_fract_x
_atom_site_fract_y
_atom_site_fract_z
Pm1 Pm 0.000 0.500 0.249
Al1 Al 0.500 0.500 0.000
Ga1 Ga 0.000 0.000 0.000
Ga2 Ga 0.000 0.000 0.500
Ga3 Ga 0.000 0.500 0.637
Ga4 Ga 0.000 0.500 0.862
Ga5 Ga 0.500 0.500 0.500
# DOS at the Fermi energy, states/eV per cell: 4.9
# Magnetic moment, μB per formula unit: 0.00
# Electronic total energy, eV per atom: -3.85
# Crystal system: tetragonal
# ΔE_f, eV per atom: -0.4043

# LiAgSn2 PBE optimized geometry
data_LiAgSn2
_chemical_formula_sum 'Li1 Ag1 Sn2'
_cell_length_a 4.452
_cell_length_b 4.452
_cell_length_c 4.339
_cell_angle_alpha 90.00
_cell_angle_beta 90.00
_cell_angle_gamma 90.00
_symmetry_space_group_name_H-M 'P 4/m m m'
_symmetry_Int_Tables_number 123
_symmetry_space_group_name_Hall '-P 4 2'
loop_
_atom_site_label
_atom_site_type_symbol
_atom_site_fract_x
_atom_site_fract_y
_atom_site_fract_z
Li1 Li 0.000 0.000 0.000
Ag1 Ag 0.500 0.500 0.000
Sn1 Sn 0.000 0.500 0.500
# DOS at the Fermi energy, states/eV per cell: 1.1
# Magnetic moment, μB per formula unit: 0.00
# Energy relative to the lowest polymorph listed for this composition, meV per atom: 0
# Electronic total energy, eV per atom: -3.34
# Crystal system: tetragonal
# ΔE_f, eV per atom: -0.1492

# ScCdB PBE optimized geometry
data_ScCdB
_chemical_formula_sum 'Sc1 Cd1 B1'
_cell_length_a 3.425
_cell_length_b 3.453
_cell_length_c 4.529
_cell_angle_alpha 90.00
_cell_angle_beta 90.00
_cell_angle_gamma 90.00
_symmetry_space_group_name_H-M 'P m m m'
_symmetry_Int_Tables_number 47
_symmetry_space_group_name_Hall '-P 2 2'
loop_
_atom_site_label
_atom_site_type_symbol
_atom_site_fract_x
_atom_site_fract_y
_atom_site_fract_z
Sc1 Sc 0.000 0.000 0.000
Cd1 Cd 0.500 0.500 0.500
B1 B 0.500 0.500 0.000
# DOS at the Fermi energy, states/eV per cell: 2.4
# Magnetic moment, μB per formula unit: 0.00
# Energy relative to the lowest polymorph listed for this composition, meV per atom: 582
# Electronic total energy, eV per atom: -4.55
# Crystal system: orthorhombic
# ΔE_f, eV per atom: 0.0919

# Ac2TlGa3Au4 PBE optimized geometry
data_Ac2TlGa3Au4
_chemical_formula_sum 'Ac2 Tl1 Ga3 Au4'
_cell_length_a 4.639
_cell_length_b 4.639
_cell_length_c 10.933
_cell_angle_alpha 90.00
_cell_angle_beta 90.00
_cell_angle_gamma 90.00
_symmetry_space_group_name_H-M 'P -4 m 2'
_symmetry_Int_Tables_number 115
_symmetry_space_group_name_Hall 'P -4 -2'
loop_
_atom_site_label
_atom_site_type_symbol
_atom_site_fract_x
_atom_site_fract_y
_atom_site_fract_z
Ac1 Ac 0.000 0.500 0.238
Tl1 Tl 0.000 0.000 0.500
Ga1 Ga 0.000 0.500 0.881
Ga2 Ga 0.500 0.500 0.500
Au1 Au 0.000 0.000 0.000
Au2 Au 0.000 0.500 0.649
Au3 Au 0.500 0.500 0.000
# DOS at the Fermi energy, states/eV per cell: 6.4
# Magnetic moment, μB per formula unit: 0.00
# Electronic total energy, eV per atom: -3.87
# Crystal system: tetragonal
# ΔE_f, eV per atom: -0.5944

# CsGa3Bi PBE optimized geometry
data_CsGa3Bi
_chemical_formula_sum 'Cs1 Ga3 Bi1'
_cell_length_a 5.911
_cell_length_b 5.911
_cell_length_c 5.911
_cell_angle_alpha 90.00
_cell_angle_beta 90.00
_cell_angle_gamma 90.00
_symmetry_space_group_name_H-M 'P m -3 m'
_symmetry_Int_Tables_number 221
_symmetry_space_group_name_Hall '-P 4 2 3'
loop_
_atom_site_label
_atom_site_type_symbol
_atom_site_fract_x
_atom_site_fract_y
_atom_site_fract_z
Cs1 Cs 0.000 0.000 0.000
Ga1 Ga 0.000 0.000 0.500
Bi1 Bi 0.500 0.500 0.500
# DOS at the Fermi energy, states/eV per cell: 4.6
# Magnetic moment, μB per formula unit: 0.00
# Energy relative to the lowest polymorph listed for this composition, meV per atom: 784
# Electronic total energy, eV per atom: -1.64
# Crystal system: cubic
# ΔE_f, eV per atom: 1.1184

# CaTb2ErSe4 PBE optimized geometry
data_CaTb2ErSe4
_chemical_formula_sum 'Ca1 Tb2 Er1 Se4'
_cell_length_a 7.093
_cell_length_b 4.080
_cell_length_c 7.122
_cell_angle_alpha 90.00
_cell_angle_beta 109.12
_cell_angle_gamma 90.00
_symmetry_space_group_name_H-M 'P 1 2/m 1'
_symmetry_Int_Tables_number 10
_symmetry_space_group_name_Hall '-P 2y'
loop_
_atom_site_label
_atom_site_type_symbol
_atom_site_fract_x
_atom_site_fract_y
_atom_site_fract_z
Ca1 Ca 0.000 0.000 0.000
Tb1 Tb 0.000 0.500 0.500
Tb2 Tb 0.500 0.000 0.500
Er1 Er 0.500 0.500 0.000
Se1 Se 0.252 0.500 0.249
Se2 Se 0.253 0.000 0.754
# E_form (uncorrected), eV/atom: -1.804
# DOS at the Fermi energy, states/eV per cell: 2.8
# Magnetic moment, μB per formula unit: 0.00
# Electronic total energy, eV per atom: -5.52
# Crystal system: monoclinic